11
Lattice="-1.8482 -3.0186 -3.7825 6.2783 -2.5909 -1.0002 -2.8385 -4.3231 8.3843" Properties=species:S:1:pos:R:3 comment="PBE Sm8In2Rh, optimized geometry" ef_ev_per_atom=-0.304 density_g_cm3=7.751 pbc="T T T"
Sm 0.3471 -6.1929 4.7726
Sm 4.1177 -5.7390 -0.9793
Sm 1.2596 -6.6997 1.1839
Sm -3.1675 -7.7157 4.1580
Sm 0.3320 -3.2329 2.4178
Sm -2.5261 -4.1935 4.5810
Sm 1.2445 -3.7397 -1.1709
Sm 4.7591 -2.2169 -0.5563
In -1.7177 -5.8292 1.9441
In 3.3093 -4.1033 1.6576
Rh -0.9241 -1.5093 -1.8912